DFT (GGA+U) results for PrMnO4 after structural relaxation.

Properties
Total magnetization (μB/cell): 4.00
Total DFT energy (no corrections) (eV per formula unit): -42.71

Cell lengths 5.2197, 5.2197, 6.2340 Å; angles 90.00, 90.00, 90.00 degrees
With the nearest neighbours (Å) after each atom.
Fractional positions:
O (0.0000, 0.7421, 0.8326)  1 Mn 1.70
O (0.7421, 0.0000, 0.1674)  1 Mn 1.70
Pr (0.0000, 0.0000, 0.5000)  4 O 2.47
O (0.0000, 0.2579, 0.8326)  1 Mn 1.70
Mn (0.0000, 0.0000, 0.0000)  4 O 1.70
O (0.5000, 0.7579, 0.6674)  1 Mn 1.70
Pr (0.5000, 0.5000, 0.0000)  4 O 2.47
O (0.7579, 0.5000, 0.3326)  1 Mn 1.70
Mn (0.5000, 0.5000, 0.5000)  4 O 1.70
O (0.2421, 0.5000, 0.3326)  1 Mn 1.70
O (0.5000, 0.2421, 0.6674)  1 Mn 1.70
O (0.2579, 0.0000, 0.1674)  1 Mn 1.70